YBBr2 | GGA-PBEsol | optimized geometry

Properties
The value obtained for the total magnetization is 0.0 μB per formula unit. The formation energy without anion corrections comes out at 0.3726 eV per atom. The density of states at the Fermi level comes out at 1.2 states/eV/f.u.

Cell lengths 3.7161, 3.7161, 25.3895 Å; angles 90.00, 90.00, 120.00 degrees
Space group R-3m (No. 166, hexagonal axes)
Unique sites:
Y (0.0000, 0.0000, 0.0000)
B (0.0000, 0.0000, 0.5000)
Br (0.0000, 0.0000, 0.1078)

=====

Y4BBr6 | GGA-PBEsol | optimized geometry

Properties
The value obtained for the total magnetization is 0.0 μB per formula unit. The formation energy without anion corrections comes out at -1.5484 eV per atom. The density of states at the Fermi level comes out at 3.7 states/eV/f.u.

Cell lengths 17.7786, 11.0514, 12.3727 Å; angles 90.00, 96.83, 90.00 degrees
Space group C2/c (No. 15)
Unique sites:
Y (0.0307, 0.1122, 0.0900)
Y (0.0358, 0.3507, 0.6048)
Y (0.0932, 0.1212, 0.8100)
Y (0.1661, 0.1208, 0.5460)
B (0.0365, 0.1246, 0.6059)
Br (0.0371, 0.3782, 0.1070)
Br (0.1075, 0.3819, 0.8208)
Br (0.1104, 0.1406, 0.3150)
Br (0.1793, 0.1322, 0.0281)
Br (0.1813, 0.3762, 0.5342)
Br (0.2433, 0.1191, 0.7504)

=====

ZrB3Br | GGA-PBEsol | optimized geometry

Properties
The value obtained for the total magnetization is 0.0 μB per formula unit. The formation energy without anion corrections comes out at 2.0653 eV per atom. The density of states at the Fermi level comes out at 6.4 states/eV/f.u.

Cell lengths 4.6206, 4.6206, 4.6206 Å; angles 90.00, 90.00, 90.00 degrees
Space group Pm-3m (No. 221)
Unique sites:
Zr (0.0000, 0.0000, 0.0000)
B (0.0000, 0.0000, 0.5000)
Br (0.5000, 0.5000, 0.5000)

=====

- What is the formation energy without anion corrections in the third record?
  2.0653 eV per atom